LiCdInHg3, optimized geometry, DFT PBE; formation enthalpy at 0 K = -97 meV/atom; E_tot = -1.176 eV/atom
1.0
3.757 0.000 0.000
0.000 7.961 -0.374
0.000 -3.454 9.667
Li Cd In Hg
2 2 2 6
Cartesian
2.818 4.251 6.589
0.939 0.256 2.704
0.939 4.524 0.925
2.818 -0.016 8.368
0.939 -1.200 6.058
2.818 5.707 3.236
0.939 3.502 4.483
2.818 7.015 0.423
2.818 2.252 1.775
2.818 1.005 4.811
0.939 2.255 7.519
0.939 -2.508 8.871

---

Th2IrBr, optimized geometry, DFT PBE; E_tot = -7.368 eV/atom; formation energy from raw total energies = -1025 meV/atom
1.0
4.083 0.000 0.000
2.041 3.536 0.000
0.000 0.000 8.063
Th Ir Br
2 1 1
Cartesian
4.083 2.357 1.590
2.041 1.178 6.473
0.000 0.000 0.000
0.000 0.000 4.031

---

LiSb3, optimized geometry, DFT PBE; E_tot = -3.706 eV/atom; formation energy from raw total energies = -136 meV/atom
1.0
-3.095 0.062 2.840
1.241 -2.561 1.408
4.310 4.605 4.596
Sb Li
3 1
Cartesian
2.494 2.402 5.772
2.776 1.022 3.002
-0.038 -0.296 3.072
0.000 0.000 0.000

---

Tb2Er5Tm12, optimized geometry, DFT PBE; formation enthalpy at 0 K = 25 meV/atom; E_tot = -4.487 eV/atom
1.0
-0.166 4.702 -3.802
-10.070 -4.558 6.010
10.067 5.678 4.973
Tb Er Tm
2 5 12
Cartesian
0.144 3.793 -0.936
-0.313 2.029 8.117
0.761 1.970 4.793
-5.650 0.103 2.766
5.034 2.839 2.486
5.481 5.719 4.415
-0.930 3.852 2.388
1.833 1.909 1.472
-7.166 -2.715 4.157
1.214 4.850 6.721
-4.138 2.920 1.371
-2.453 1.036 3.780
-3.524 1.097 7.102
3.355 4.725 0.079
3.969 2.902 5.810
2.285 4.786 3.401
6.997 8.537 3.024
-1.383 0.973 0.460
-2.002 3.913 5.709

---

AgTe2, optimized geometry, DFT PBE; E_tot = -3.045 eV/atom; formation energy from raw total energies = 0 meV/atom
1.0
-1.134 3.163 -2.932
-2.029 -0.194 3.967
7.761 6.767 4.300
Ag Te
2 4
Cartesian
0.000 0.000 0.000
3.880 3.384 2.150
5.046 6.834 5.422
1.464 4.570 0.972
3.134 5.167 4.363
-0.448 2.902 -0.087

---

Na5Pt, optimized geometry, DFT PBE; formation enthalpy at 0 K = 11 meV/atom; E_tot = -2.095 eV/atom
1.0
1.659 -9.507 0.000
1.659 9.507 0.000
0.000 0.000 5.188
Na Pt
5 1
Cartesian
1.659 -9.110 0.000
1.659 -2.978 0.000
1.659 2.908 0.000
1.659 -0.505 2.594
1.659 4.521 2.594
1.659 -7.510 2.594

---

Na5RuO5, optimized geometry, DFT PBE; E_tot = -4.969 eV/atom; formation energy from raw total energies = -1272 meV/atom
1.0
4.456 0.000 0.000
-2.228 5.355 -0.015
0.000 -2.024 6.091
Na Ru O
5 1 5
Cartesian
2.228 1.415 1.927
2.228 0.153 5.223
0.000 -1.012 3.045
0.000 3.178 0.852
0.000 1.916 4.149
0.000 0.000 0.000
2.228 3.628 0.930
2.228 2.391 4.310
2.228 0.000 0.000
0.000 0.940 1.765
0.000 -0.297 5.146

---

InGaCo2Pt, optimized geometry, DFT PBE; formation enthalpy at 0 K = 918 meV/atom; E_tot = -4.285 eV/atom
1.0
-0.253 3.998 1.565
-0.697 -1.813 4.519
4.250 0.010 0.660
Co Ga Pt In
2 1 1 1
Cartesian
2.125 0.005 0.330
-0.126 1.999 0.782
0.000 0.000 0.000
1.650 1.098 3.372
-0.349 -0.906 2.259

---

Sr2CeSnS5, optimized geometry, DFT PBE; E_tot = -5.330 eV/atom; formation energy from raw total energies = -1559 meV/atom
1.0
-2.967 1.970 2.213
-3.367 -8.196 -1.194
5.880 -4.096 11.529
Sr Ce Sn S
4 2 2 10
Cartesian
-0.332 -7.556 10.253
3.042 -3.881 7.533
0.451 -3.166 3.422
-4.619 -5.660 2.817
-0.967 -5.078 7.196
-2.049 -3.460 0.331
3.607 -3.592 12.006
-1.756 -8.336 5.065
2.111 -9.583 11.359
1.841 -5.661 11.479
-0.318 -10.214 8.664
1.415 -6.498 7.680
-2.246 -7.452 7.593
0.269 -2.713 6.748
-0.500 -5.912 4.592
-0.032 -0.181 4.091
-2.810 -3.169 3.025
-0.337 -1.387 0.783

---

TiSnCl2, optimized geometry, DFT PBE; E_tot = -4.192 eV/atom; formation energy from raw total energies = -294 meV/atom
1.0
-1.122 -5.811 -3.140
6.158 0.232 -2.630
4.454 -5.485 1.411
Cl Sn Ti
4 2 2
Cartesian
1.303 -4.346 -1.599
4.701 -2.581 -2.023
5.895 -6.181 -1.390
7.081 -9.021 -3.706
0.000 0.000 0.000
2.925 -7.043 -2.307
2.518 -2.790 -2.885
6.565 -4.021 -2.052

---

ThGa3Rh3, optimized geometry, DFT PBE; formation enthalpy at 0 K = -639 meV/atom; E_tot = -6.147 eV/atom
1.0
6.717 0.000 0.000
3.358 5.817 0.000
3.358 1.939 6.373
Th Ga Rh
2 6 6
Cartesian
6.717 3.878 6.257
6.717 3.878 0.116
8.203 5.533 3.904
7.407 1.763 3.904
4.540 4.338 3.904
8.893 3.418 2.470
6.027 5.992 2.470
5.230 2.223 2.470
4.236 4.400 1.314
7.505 1.468 1.314
8.410 5.765 1.314
5.024 1.990 5.059
5.929 6.288 5.059
9.198 3.355 5.059

---

ZrB2Mo, optimized geometry, DFT PBE; formation enthalpy at 0 K = 492 meV/atom; E_tot = -7.691 eV/atom
1.0
-4.376 -1.634 -1.797
1.306 -4.705 1.099
-3.647 -2.662 4.332
Mo B Zr
2 4 2
Cartesian
0.000 0.000 0.000
-4.779 -3.733 1.093
-3.680 -2.349 0.016
-0.446 -3.737 1.626
-3.945 -4.162 2.938
-5.363 -7.755 2.688
-1.535 -3.170 -0.349
-1.938 -5.268 2.541

---

Question: Look up the E_tot of the ninth one.
Answer: -5.330 eV/atom

---

Question: Number 7 is which compound?
Answer: Na5RuO5

---

Question: What is the E_tot in the seventh record?
Answer: -4.969 eV/atom